Density functional theory data (PBE) for BrCl3 after structural relaxation.

Output
formation energy without anion corrections: 351 meV/atom

The structure in POSCAR format:
```
BrCl3
1.0
3.446 0.000 0.000
-1.723 2.985 0.000
0.000 0.000 35.227
Br Cl
3 9
Cartesian
0.000 0.000 0.000
0.000 1.990 23.485
1.723 0.995 11.742
0.000 0.000 2.310
0.000 0.000 17.613
0.000 0.000 32.917
0.000 1.990 5.871
0.000 1.990 21.175
0.000 1.990 25.794
1.723 0.995 9.432
1.723 0.995 14.052
1.723 0.995 29.356
```



Density functional theory data (PBE) for TaZnAs2 after structural relaxation.

Output
ΔE_f: -0.149 eV/atom

The structure in POSCAR format:
```
TaZnAs2
1.0
3.411 0.000 0.000
0.000 3.411 0.000
0.000 0.000 5.907
Ta Zn As
1 1 2
Cartesian
0.000 0.000 0.000
0.000 0.000 2.954
1.705 1.705 1.374
1.705 1.705 4.534
```



Density functional theory data (PBE) for AcMg2In4Cu after structural relaxation.

Output
ΔE_f: -0.155 eV/atom

The structure in POSCAR format:
```
AcMg2In4Cu
1.0
2.488 1.436 9.416
-2.488 1.436 9.416
0.000 -2.873 9.416
Ac Mg In Cu
1 2 4 1
Cartesian
0.000 0.000 0.000
0.000 0.000 6.931
0.000 0.000 21.318
0.000 0.000 3.799
0.000 0.000 11.317
0.000 0.000 16.932
0.000 0.000 24.450
0.000 0.000 14.124
```



Density functional theory data (PBE) for Y2MnCu3Ni12 after structural relaxation.

Output
ΔE_f: 0.227 eV/atom

The structure in POSCAR format:
```
Y2MnCu3Ni12
1.0
2.960 1.709 8.550
-2.960 1.709 8.550
0.000 -3.418 8.550
Y Mn Cu Ni
2 1 3 12
Cartesian
0.000 0.000 3.881
0.000 0.000 21.770
0.000 0.000 12.825
-1.480 -0.855 8.550
-1.480 0.855 17.101
0.000 1.709 8.550
0.000 -2.082 7.230
-1.803 1.041 7.230
-1.266 -0.731 11.040
-1.803 -1.041 18.421
0.000 -1.462 14.611
-1.266 0.731 14.611
1.266 -0.731 11.040
0.000 1.462 11.040
1.803 1.041 7.230
1.266 0.731 14.611
1.803 -1.041 18.421
0.000 2.082 18.421
```



Density functional theory data (PBE) for BaMn2Cr after structural relaxation.

Output
ΔE_f: 0.988 eV/atom

The structure in POSCAR format:
```
BaMn2Cr
1.0
5.062 0.000 0.000
0.000 5.062 0.000
0.000 0.000 3.421
Ba Mn Cr
1 2 1
Cartesian
0.000 0.000 0.000
0.000 2.531 1.711
2.531 0.000 1.711
2.531 2.531 0.000
```



Density functional theory data (PBE) for Ge2Te8Pd after structural relaxation.

Output
formation energy without anion corrections: 6 meV/atom

The structure in POSCAR format:
```
Ge2Te8Pd
1.0
6.758 -4.300 0.000
6.758 4.300 0.000
-1.361 0.000 5.895
Ge Te Pd
2 8 1
Cartesian
2.418 0.000 0.713
9.737 0.000 5.182
4.860 2.388 4.523
1.769 0.000 4.124
7.295 2.388 1.372
4.812 0.000 1.780
7.343 0.000 4.115
4.860 -2.388 4.523
10.386 0.000 1.771
7.295 -2.388 1.372
-0.680 0.000 2.948
```



Density functional theory data (PBE) for BaHgRhPb2 after structural relaxation.

Output
ΔE_f: -0.199 eV/atom

The structure in POSCAR format:
```
BaHgRhPb2
1.0
5.306 0.000 0.000
0.000 5.306 0.000
0.000 0.000 5.981
Ba Hg Rh Pb
1 1 1 2
Cartesian
0.000 0.000 0.000
2.653 2.653 0.000
0.000 0.000 2.990
0.000 2.653 2.990
2.653 0.000 2.990
```



Density functional theory data (PBE) for KAgCl3 after structural relaxation.

Output
formation energy without anion corrections: -742 meV/atom

The structure in POSCAR format:
```
KAgCl3
1.0
-2.574 2.574 12.943
2.574 -2.574 12.943
2.574 2.574 -12.943
K Ag Cl
2 2 6
Cartesian
0.000 0.000 0.000
0.000 2.574 6.472
2.574 0.000 4.033
2.574 0.000 8.911
0.000 0.000 8.012
0.000 1.297 2.708
0.000 0.000 17.875
0.000 3.850 2.708
-1.276 2.574 10.235
1.276 2.574 10.235
```



Density functional theory data (PBE) for RbZrTl after structural relaxation.

Output
ΔE_f: 0.160 eV/atom

The structure in POSCAR format:
```
RbZrTl
1.0
4.106 0.000 0.000
0.000 4.376 0.000
0.025 2.079 13.436
Rb Zr Tl
2 2 2
Cartesian
0.000 0.000 0.000
2.067 4.370 9.238
1.999 4.372 3.511
4.052 4.373 5.727
1.997 2.185 6.080
4.051 2.184 3.158
```



Density functional theory data (PBE) for Ir3Ru after structural relaxation.

Output
ΔE_f: 0.582 eV/atom

The structure in POSCAR format:
```
Ir3Ru
1.0
6.211 0.000 0.000
0.000 6.211 0.000
0.000 0.000 6.211
Ir Ru
12 4
Cartesian
0.000 0.000 0.000
0.000 3.106 3.106
1.553 1.553 1.553
1.553 1.553 4.658
1.553 4.658 1.553
1.553 4.658 4.658
3.106 0.000 3.106
3.106 3.106 0.000
4.658 1.553 1.553
4.658 1.553 4.658
4.658 4.658 1.553
4.658 4.658 4.658
0.000 0.000 3.106
0.000 3.106 0.000
3.106 0.000 0.000
3.106 3.106 3.106
```



Density functional theory data (PBE) for Ac2CePuN5 after structural relaxation.

Output
formation energy without anion corrections: -1092 meV/atom

The structure in POSCAR format:
```
Ac2CePuN5
1.0
1.857 -7.477 0.000
1.857 7.477 0.000
0.000 0.000 11.266
Ac Ce Pu N
4 2 2 10
Cartesian
1.857 5.909 5.633
1.857 5.454 0.981
1.857 -5.454 6.614
1.857 -5.909 0.000
1.857 4.147 9.202
1.857 -4.147 3.569
1.857 0.407 3.045
1.857 -0.407 8.678
1.857 6.514 9.714
1.857 3.424 5.167
1.857 2.487 2.285
1.857 1.730 9.179
1.857 0.170 6.628
1.857 -0.170 0.995
1.857 -1.730 3.546
1.857 -2.487 7.918
1.857 -3.424 10.800
1.857 -6.514 4.082
```



Density functional theory data (PBE) for Pm2Zn16Sn after structural relaxation.

Output
ΔE_f: -0.231 eV/atom

The structure in POSCAR format:
```
Pm2Zn16Sn
1.0
4.604 2.658 4.392
-4.604 2.658 4.392
0.000 -5.316 4.392
Pm Zn Sn
2 16 1
Cartesian
0.000 0.000 0.000
0.000 0.000 4.272
0.000 -2.504 2.259
-2.168 1.252 2.259
-2.195 -1.267 6.502
0.000 -2.723 6.371
-2.358 1.361 6.371
-1.419 -2.452 8.696
-2.833 -0.003 8.696
2.168 1.252 2.259
0.000 0.000 7.323
2.195 -1.267 6.502
0.000 2.535 6.502
1.419 -2.452 8.696
-1.414 2.455 8.696
2.358 1.361 6.371
2.833 -0.003 8.696
1.414 2.455 8.696
0.000 0.000 10.004
```



Number 1: calculated volume 30.2 Å³/atom. Number 2: calculated volume 17.2 Å³/atom. Number 3: calculated volume 25.2 Å³/atom. Number 4: calculated volume 14.4 Å³/atom. Number 5: calculated volume 21.9 Å³/atom. Number 6: calculated volume 31.1 Å³/atom. Number 7: calculated volume 33.7 Å³/atom. Number 8: calculated volume 34.3 Å³/atom. Number 9: calculated volume 40.2 Å³/atom. Number 10: calculated volume 15.0 Å³/atom. Number 11: calculated volume 17.4 Å³/atom. Number 12: calculated volume 17.0 Å³/atom.